Entry 1:
First-principles (PBE) data for a geometry-optimized Cs2K2Rb2Hg structure, as listed in Alexandria via LeMat-Bulk.

Geometry as CIF:
```
data_Cs2K2Rb2Hg
_chemical_formula_sum 'Cs2 K2 Rb2 Hg1'
_cell_length_a 5.7546
_cell_length_b 9.8498
_cell_length_c 10.6710
_cell_angle_alpha 106.02
_cell_angle_beta 90.04
_cell_angle_gamma 106.89
_symmetry_space_group_name_H-M 'P -1'
_symmetry_Int_Tables_number 2
loop_
_symmetry_equiv_pos_as_xyz
'x,y,z'
'-x,-y,-z'
loop_
_atom_site_label
_atom_site_type_symbol
_atom_site_fract_x
_atom_site_fract_y
_atom_site_fract_z
Cs1 Cs 0.0071 0.0144 0.2704
K1 K 0.3048 0.6098 0.3903
Rb1 Rb 0.3386 0.6772 0.9354
Hg1 Hg 0.5000 0.0000 0.5000
```

Properties
The value obtained for the total magnetization is 0.0 μB/f.u. Its formation energy is -50.0 meV/atom.


Entry 2:
First-principles (PBE) data for a geometry-optimized Li7Au structure, as listed in Alexandria via LeMat-Bulk.

Geometry as CIF:
```
data_Li7Au
_chemical_formula_sum 'Li21 Au3'
_cell_length_a 4.5980
_cell_length_b 4.5980
_cell_length_c 22.8164
_cell_angle_alpha 90.00
_cell_angle_beta 90.00
_cell_angle_gamma 120.00
_symmetry_space_group_name_H-M 'R -3 m'
_symmetry_Int_Tables_number 166
_symmetry_space_group_name_Hall '-R 3 2"'
loop_
_atom_site_label
_atom_site_type_symbol
_atom_site_fract_x
_atom_site_fract_y
_atom_site_fract_z
Li1 Li 0.0000 0.0000 0.0000
Li2 Li 0.0000 0.0000 0.1294
Li3 Li 0.0000 0.0000 0.2442
Li4 Li 0.0000 0.0000 0.3813
Au1 Au 0.0000 0.0000 0.5000
```

Properties
The polymorph energy (0 for the lowest one) is 0 meV per atom. The value obtained for the total magnetization is 0.0 μB/f.u. Its formation energy is -188.9 meV/atom.


Entry 3:
First-principles (PBE) data for a geometry-optimized La2Ga2Au structure, as listed in Alexandria via LeMat-Bulk.

Geometry as CIF:
```
data_La2Ga2Au
_chemical_formula_sum 'La8 Ga8 Au4'
_cell_length_a 11.0349
_cell_length_b 4.6427
_cell_length_c 11.3561
_cell_angle_alpha 90.00
_cell_angle_beta 118.94
_cell_angle_gamma 90.00
_symmetry_space_group_name_H-M 'C 1 2/m 1'
_symmetry_Int_Tables_number 12
loop_
_symmetry_equiv_pos_as_xyz
'x,y,z'
'-x,-y,-z'
'-x,y,-z'
'x,-y,z'
'x+1/2,y+1/2,z'
'-x+1/2,-y+1/2,-z'
'-x+1/2,y+1/2,-z'
'x+1/2,-y+1/2,z'
loop_
_atom_site_label
_atom_site_type_symbol
_atom_site_fract_x
_atom_site_fract_y
_atom_site_fract_z
La1 La 0.0265 0.0000 0.3328
La2 La 0.1921 0.0000 0.1140
Ga1 Ga 0.0217 0.5000 0.8944
Ga2 Ga 0.1341 0.5000 0.5571
Au1 Au 0.2332 0.5000 0.3399
```

Properties
The polymorph energy (0 for the lowest one) is 0 meV per atom. The value obtained for the total magnetization is 0.0 μB/f.u. Its formation energy is -708.0 meV/atom.


Entry 4:
First-principles (PBE) data for a geometry-optimized Ti5SnB2 structure, as listed in Alexandria via LeMat-Bulk.

Geometry as CIF:
```
data_Ti5SnB2
_chemical_formula_sum 'Ti20 Sn4 B8'
_cell_length_a 6.2097
_cell_length_b 6.2097
_cell_length_c 12.4016
_cell_angle_alpha 90.00
_cell_angle_beta 90.00
_cell_angle_gamma 90.00
_symmetry_space_group_name_H-M 'I 4/m c m'
_symmetry_Int_Tables_number 140
_symmetry_space_group_name_Hall '-I 4 2c'
loop_
_atom_site_label
_atom_site_type_symbol
_atom_site_fract_x
_atom_site_fract_y
_atom_site_fract_z
Ti1 Ti 0.0000 0.0000 0.0000
Ti2 Ti 0.1746 0.3254 0.1209
Sn1 Sn 0.0000 0.0000 0.2500
B1 B 0.1090 0.3910 0.5000
```

Properties
The value obtained for the total magnetization is 1.2 μB/f.u. Its formation energy is -448.4 meV/atom.


Entry 5:
First-principles (PBE) data for a geometry-optimized PrHoCoNi structure, as listed in Alexandria via LeMat-Bulk.

Geometry as CIF:
```
data_PrHoCoNi
_chemical_formula_sum 'Pr4 Ho4 Co4 Ni4'
_cell_length_a 6.8441
_cell_length_b 6.8441
_cell_length_c 6.8441
_cell_angle_alpha 90.00
_cell_angle_beta 90.00
_cell_angle_gamma 90.00
_symmetry_space_group_name_H-M 'F -4 3 m'
_symmetry_Int_Tables_number 216
_symmetry_space_group_name_Hall 'F -4 2 3'
loop_
_atom_site_label
_atom_site_type_symbol
_atom_site_fract_x
_atom_site_fract_y
_atom_site_fract_z
Pr1 Pr 0.0000 0.0000 0.0000
Ho1 Ho 0.0000 0.0000 0.5000
Co1 Co 0.2500 0.2500 0.7500
Ni1 Ni 0.2500 0.2500 0.2500
```

Properties
The value obtained for the total magnetization is 0.3 μB/f.u. Its formation energy is -144.1 meV/atom.


Entry 6:
First-principles (PBE) data for a geometry-optimized PrPaAlZn structure, as listed in Alexandria via LeMat-Bulk.

Geometry as CIF:
```
data_PrPaAlZn
_chemical_formula_sum 'Pr4 Pa4 Al4 Zn4'
_cell_length_a 7.2941
_cell_length_b 7.2941
_cell_length_c 7.2941
_cell_angle_alpha 90.00
_cell_angle_beta 90.00
_cell_angle_gamma 90.00
_symmetry_space_group_name_H-M 'F -4 3 m'
_symmetry_Int_Tables_number 216
_symmetry_space_group_name_Hall 'F -4 2 3'
loop_
_atom_site_label
_atom_site_type_symbol
_atom_site_fract_x
_atom_site_fract_y
_atom_site_fract_z
Pr1 Pr 0.0000 0.0000 0.0000
Pa1 Pa 0.0000 0.0000 0.5000
Al1 Al 0.2500 0.2500 0.2500
Zn1 Zn 0.2500 0.2500 0.7500
```

Properties
The value obtained for the total magnetization is 0.8 μB/f.u. Its formation energy is -14.2 meV/atom.


Entry 7:
First-principles (PBE) data for a geometry-optimized BeRu2 structure, as listed in Alexandria via LeMat-Bulk.

Geometry as CIF:
```
data_BeRu2
_chemical_formula_sum 'Be4 Ru8'
_cell_length_a 5.1052
_cell_length_b 3.8882
_cell_length_c 7.2985
_cell_angle_alpha 90.00
_cell_angle_beta 90.00
_cell_angle_gamma 90.00
_symmetry_space_group_name_H-M 'P n m a'
_symmetry_Int_Tables_number 62
loop_
_symmetry_equiv_pos_as_xyz
'x,y,z'
'-x,-y,-z'
'-x+1/2,-y,z+1/2'
'x+1/2,y,-z+1/2'
'x+1/2,-y+1/2,-z+1/2'
'-x+1/2,y+1/2,z+1/2'
'-x,y+1/2,-z'
'x,-y+1/2,z'
loop_
_atom_site_label
_atom_site_type_symbol
_atom_site_fract_x
_atom_site_fract_y
_atom_site_fract_z
Be1 Be 0.1934 0.2500 0.1074
Ru1 Ru 0.0356 0.2500 0.7897
Ru2 Ru 0.1720 0.2500 0.4388
```

Properties
The value obtained for the total magnetization is 0.0 μB/f.u. Its formation energy is -10.5 meV/atom.


Entry 8:
First-principles (PBE) data for a geometry-optimized Hf6CCl14 structure, as listed in Alexandria via LeMat-Bulk.

Geometry as CIF:
```
data_Hf6CCl14
_chemical_formula_sum 'Hf24 C4 Cl56'
_cell_length_a 14.1485
_cell_length_b 12.9660
_cell_length_c 11.5269
_cell_angle_alpha 90.00
_cell_angle_beta 90.00
_cell_angle_gamma 90.00
_symmetry_space_group_name_H-M 'C m c e'
_symmetry_Int_Tables_number 64
_symmetry_space_group_name_Hall '-C 2ac 2'
loop_
_atom_site_label
_atom_site_type_symbol
_atom_site_fract_x
_atom_site_fract_y
_atom_site_fract_z
Hf1 Hf 0.0000 0.1425 0.1028
Hf2 Hf 0.1140 0.0664 0.8830
C1 C 0.0000 0.0000 0.0000
Cl1 Cl 0.0000 0.1523 0.7378
Cl2 Cl 0.1223 0.0890 0.2466
Cl3 Cl 0.1234 0.2358 0.9889
Cl4 Cl 0.2485 0.0000 0.0000
Cl5 Cl 0.2500 0.1432 0.7500
```

Properties
The value obtained for the total magnetization is 0.0 μB/f.u. Its final energy is -6.2573 eV per atom.


Entry 9:
First-principles (PBE) data for a geometry-optimized ScCdRe2 structure, as listed in Alexandria via LeMat-Bulk.

Geometry as CIF:
```
data_ScCdRe2
_chemical_formula_sum 'Sc1 Cd1 Re2'
_cell_length_a 2.9252
_cell_length_b 4.1911
_cell_length_c 5.8240
_cell_angle_alpha 90.00
_cell_angle_beta 98.24
_cell_angle_gamma 90.00
_symmetry_space_group_name_H-M 'P 1 m 1'
_symmetry_Int_Tables_number 6
loop_
_symmetry_equiv_pos_as_xyz
'x,y,z'
'x,-y,z'
loop_
_atom_site_label
_atom_site_type_symbol
_atom_site_fract_x
_atom_site_fract_y
_atom_site_fract_z
Sc1 Sc 0.0000 0.0000 0.0000
Cd1 Cd 0.5632 0.5000 0.2659
Re1 Re 0.1021 0.0000 0.5605
Re2 Re 0.5000 0.5000 0.7423
```

Properties
The value obtained for the total magnetization is 0.0 μB/f.u. Its formation energy is 167.0 meV/atom.


Entry 10:
First-principles (PBE) data for a geometry-optimized Ba2In3Ag4Pb structure, as listed in Alexandria via LeMat-Bulk.

Geometry as CIF:
```
data_Ba2In3Ag4Pb
_chemical_formula_sum 'Ba2 In3 Ag4 Pb1'
_cell_length_a 4.8989
_cell_length_b 4.8989
_cell_length_c 11.7547
_cell_angle_alpha 90.00
_cell_angle_beta 90.00
_cell_angle_gamma 90.00
_symmetry_space_group_name_H-M 'P -4 m 2'
_symmetry_Int_Tables_number 115
loop_
_symmetry_equiv_pos_as_xyz
'x,y,z'
'y,-x,-z'
'-x,-y,z'
'-y,x,-z'
'-x,y,z'
'-y,-x,-z'
'x,-y,z'
'y,x,-z'
loop_
_atom_site_label
_atom_site_type_symbol
_atom_site_fract_x
_atom_site_fract_y
_atom_site_fract_z
Ba1 Ba 0.0000 0.5000 0.2432
In1 In 0.0000 0.5000 0.8810
In2 In 0.5000 0.5000 0.5000
Ag1 Ag 0.0000 0.0000 0.0000
Ag2 Ag 0.0000 0.5000 0.6417
Ag3 Ag 0.5000 0.5000 0.0000
Pb1 Pb 0.0000 0.0000 0.5000
```

Properties
The value obtained for the total magnetization is 0.0 μB/f.u. Its formation energy is -278.9 meV/atom.


Entry 11:
First-principles (PBE) data for a geometry-optimized LaIn2Co2 structure, as listed in Alexandria via LeMat-Bulk.

Geometry as CIF:
```
data_LaIn2Co2
_chemical_formula_sum 'La2 In4 Co4'
_cell_length_a 7.7199
_cell_length_b 7.7199
_cell_length_c 3.1821
_cell_angle_alpha 90.00
_cell_angle_beta 90.00
_cell_angle_gamma 90.00
_symmetry_space_group_name_H-M 'P 4/m b m'
_symmetry_Int_Tables_number 127
_symmetry_space_group_name_Hall '-P 4 2ab'
loop_
_atom_site_label
_atom_site_type_symbol
_atom_site_fract_x
_atom_site_fract_y
_atom_site_fract_z
La1 La 0.0000 0.0000 0.0000
In1 In 0.1389 0.3611 0.5000
Co1 Co 0.1561 0.6561 0.0000
```

Properties
The value obtained for the total magnetization is 0.0 μB/f.u. Its formation energy is 20.9 meV/atom.


Entry 12:
First-principles (PBE) data for a geometry-optimized Al2AgMo structure, as listed in Alexandria via LeMat-Bulk.

Geometry as CIF:
```
data_Al2AgMo
_chemical_formula_sum 'Al8 Ag4 Mo4'
_cell_length_a 6.9412
_cell_length_b 6.9412
_cell_length_c 5.7306
_cell_angle_alpha 90.00
_cell_angle_beta 90.00
_cell_angle_gamma 90.00
_symmetry_space_group_name_H-M 'I -4 2 d'
_symmetry_Int_Tables_number 122
_symmetry_space_group_name_Hall 'I -4 2bw'
loop_
_atom_site_label
_atom_site_type_symbol
_atom_site_fract_x
_atom_site_fract_y
_atom_site_fract_z
Al1 Al 0.2399 0.2500 0.1250
Ag1 Ag 0.0000 0.0000 0.0000
Mo1 Mo 0.0000 0.0000 0.5000
```

Properties
The polymorph energy (0 for the lowest one) is 493 meV per atom. The value obtained for the total magnetization is 0.0 μB/f.u. Its formation energy is 386.2 meV/atom.